## a
The following is a DFT calculation (PBE-GGA) of a relaxed structure of CeEu2Hg.

Unit cell a=3.843 b=3.843 c=9.092 alpha=90.00 beta=90.00 gamma=90.00
Positions (direct):
Ce (0.000, 0.000, 0.000)
Eu (0.500, 0.500, 0.288)
Eu (0.500, 0.500, 0.712)
Hg (0.000, 0.000, 0.500)

## Properties
DOS(E_F)	7.7	states/eV/f.u.
ρ	7.973	Mg/m³

=====

## b
The following is a DFT calculation (PBE-GGA) of a relaxed structure of CeEu2Hg.

Unit cell a=5.100 b=5.100 c=4.812 alpha=90.00 beta=90.00 gamma=90.00
Positions (direct):
Ce (0.000, 0.000, 0.000)
Eu (0.000, 0.500, 0.500)
Eu (0.500, 0.000, 0.500)
Hg (0.500, 0.500, 0.000)

## Properties
DOS(E_F)	8.8	states/eV/f.u.
ρ	8.551	Mg/m³

=====

Energies relative to the minimum, meV/atom: a 0; b 64

=====

## a
The following is a DFT calculation (PBE-GGA) of a relaxed structure of Ce2EuHg.

Unit cell a=4.088 b=4.088 c=7.616 alpha=90.00 beta=90.00 gamma=90.00
Positions (direct):
Ce (0.000, 0.000, 0.193)
Ce (0.000, 0.000, 0.807)
Eu (0.500, 0.500, 0.500)
Hg (0.500, 0.500, 0.000)

## Properties
DOS(E_F)	14.3	states/eV/f.u.
ρ	8.255	Mg/m³

=====

## b
The following is a DFT calculation (PBE-GGA) of a relaxed structure of Ce2EuHg.

Unit cell a=5.459 b=5.459 c=5.459 alpha=60.00 beta=60.00 gamma=60.00
Positions (direct):
Ce (0.250, 0.250, 0.250)
Ce (0.750, 0.750, 0.750)
Eu (0.000, 0.000, 0.000)
Hg (0.500, 0.500, 0.500)

## Properties
DOS(E_F)	13.0	states/eV/f.u.
ρ	9.132	Mg/m³

=====

Energies relative to the minimum, meV/atom: a 0; b 51

=====

## a
The following is a DFT calculation (PBE-GGA) of a relaxed structure of CeEuHg.

Unit cell a=7.048 b=7.048 c=7.048 alpha=148.45 beta=148.45 gamma=45.21
Positions (direct):
Ce (0.000, 0.000, 0.000)
Eu (0.295, 0.295, 0.000)
Hg (0.641, 0.641, 0.000)

## Properties
DOS(E_F)	7.5	states/eV/f.u.
ρ	8.565	Mg/m³

=====

## b
The following is a DFT calculation (PBE-GGA) of a relaxed structure of CeEuHg.

Unit cell a=5.349 b=5.349 c=3.201 alpha=90.00 beta=90.00 gamma=120.00
Positions (direct):
Ce (0.000, 0.000, 0.000)
Eu (0.667, 0.333, 0.000)
Hg (0.333, 0.667, 0.500)

## Properties
DOS(E_F)	5.4	states/eV/f.u.
ρ	10.317	Mg/m³

=====

Energies relative to the minimum, meV/atom: a 0; b 144

=====

## a
The following is a DFT calculation (PBE-GGA) of a relaxed structure of CeEu2In.

Unit cell a=4.986 b=4.986 c=5.106 alpha=90.00 beta=90.00 gamma=90.00
Positions (direct):
Ce (0.000, 0.000, 0.000)
Eu (0.000, 0.500, 0.500)
Eu (0.500, 0.000, 0.500)
In (0.500, 0.500, 0.000)

## Properties
DOS(E_F)	8.7	states/eV/f.u.
ρ	7.310	Mg/m³

=====

## b
The following is a DFT calculation (PBE-GGA) of a relaxed structure of CeEu2In.

Unit cell a=5.607 b=5.607 c=5.607 alpha=60.00 beta=60.00 gamma=60.00
Positions (direct):
Ce (0.000, 0.000, 0.000)
Eu (0.250, 0.250, 0.250)
Eu (0.750, 0.750, 0.750)
In (0.500, 0.500, 0.500)

## Properties
DOS(E_F)	6.6	states/eV/f.u.
ρ	7.447	Mg/m³

=====

## c
The following is a DFT calculation (PBE-GGA) of a relaxed structure of CeEu2In.

Unit cell a=4.004 b=4.004 c=8.237 alpha=90.00 beta=90.00 gamma=90.00
Positions (direct):
Ce (0.000, 0.000, 0.000)
Eu (0.500, 0.500, 0.277)
Eu (0.500, 0.500, 0.723)
In (0.000, 0.000, 0.500)

## Properties
DOS(E_F)	7.0	states/eV/f.u.
ρ	7.026	Mg/m³

=====

Energies relative to the minimum, meV/atom: a 0; b 66; c 51

=====

## a
The following is a DFT calculation (PBE-GGA) of a relaxed structure of Ce2EuIr.

Unit cell a=3.647 b=3.647 c=8.607 alpha=90.00 beta=90.00 gamma=90.00
Positions (direct):
Ce (0.000, 0.000, 0.178)
Ce (0.000, 0.000, 0.822)
Eu (0.500, 0.500, 0.500)
Ir (0.500, 0.500, 0.000)

## Properties
DOS(E_F)	9.5	states/eV/f.u.
ρ	9.055	Mg/m³

=====

## b
The following is a DFT calculation (PBE-GGA) of a relaxed structure of Ce2EuIr.

Unit cell a=5.667 b=5.667 c=5.667 alpha=50.14 beta=50.14 gamma=50.14
Positions (direct):
Ce (0.241, 0.241, 0.241)
Ce (0.759, 0.759, 0.759)
Eu (0.000, 0.000, 0.000)
Ir (0.500, 0.500, 0.500)

## Properties
DOS(E_F)	9.1	states/eV/f.u.
ρ	10.504	Mg/m³

=====

Energies relative to the minimum, meV/atom: a 0; b 146

=====

## a
The following is a DFT calculation (PBE-GGA) of a relaxed structure of LiCeEu2.

Unit cell a=3.849 b=3.849 c=9.202 alpha=90.00 beta=90.00 gamma=90.00
Positions (direct):
Li (0.000, 0.000, 0.000)
Ce (0.000, 0.000, 0.500)
Eu (0.500, 0.500, 0.229)
Eu (0.500, 0.500, 0.771)

## Properties
DOS(E_F)	7.2	states/eV/f.u.
ρ	5.493	Mg/m³

=====

## b
The following is a DFT calculation (PBE-GGA) of a relaxed structure of LiCeEu2.

Unit cell a=5.720 b=5.720 c=5.720 alpha=60.00 beta=60.00 gamma=60.00
Positions (direct):
Li (0.000, 0.000, 0.000)
Ce (0.500, 0.500, 0.500)
Eu (0.250, 0.250, 0.250)
Eu (0.750, 0.750, 0.750)

## Properties
DOS(E_F)	9.1	states/eV/f.u.
ρ	5.660	Mg/m³

=====

Energies relative to the minimum, meV/atom: a 0; b 120